LaNdF: relaxed, PBE.

The structure belongs to space group P3m1 (No. 156); the cell edges are 3.9422, 3.9422 and 5.8386 Å and the angles 90.00°, 90.00° and 120.00°. The asymmetric unit holds La at (0.0000, 0.0000, 0.0000), Nd at (0.6667, 0.3333, 0.5168) and F at (0.3333, 0.6667, 0.7583).

Its size of the total moment is 0.0 μB per cell. The calculation puts the density of states at the Fermi level at 2.4 states/eV/cell. The calculation puts the total DFT energy (no corrections) at -5.426 eV per atom. The formation energy without anion corrections is -1.570 eV/atom.

---

TlSiSN2: relaxed, PBE.

The structure belongs to space group P4/mmm (No. 123); the cell edges are 3.600, 3.600 and 5.668 Å and the angles 90.00°, 90.00° and 90.00°. The asymmetric unit holds Tl at (0.000, 0.000, 0.000), Si at (0.500, 0.500, 0.500), S at (0.500, 0.500, 0.000) and N at (0.000, 0.500, 0.500).

The value obtained for the energy above the most stable polymorph in this dataset is 0.0 meV/atom. Its size of the total moment is 0.2 μB per cell. The calculation puts the density of states at the Fermi level at 1.5 states/eV/cell. The calculation puts the total DFT energy (no corrections) at -5.188 eV per atom. The formation energy without anion corrections is 0.526 eV/atom.

---

ZrGaPd5: relaxed, PBE.

The structure belongs to space group C2/c (No. 15); the cell edges are 9.653, 9.611 and 6.940 Å and the angles 90.00°, 123.24° and 90.00°. The asymmetric unit holds Zr at (0.000, 0.052, 0.250), Ga at (0.000, 0.500, 0.000), Pd at (0.000, 0.323, 0.250), Pd at (0.112, 0.191, 0.993) and Pd at (0.211, 0.105, 0.697).

The energy of formation from the pure elements is -236 meV per atom. The value obtained for the energy above the most stable polymorph in this dataset is 478.0 meV/atom. Its size of the total moment is 0.0 μB per cell. The calculation puts the density of states at the Fermi level at 12.3 states/eV/cell. The calculation puts the total DFT energy (no corrections) at -5.598 eV per atom.